No. 1
The following is a PBE calculation of a relaxed Pm2Y2Ho4Tm crystal, from Alexandria.

Cell and atoms, written as POSCAR:
```
Pm2Y2Ho4Tm
1.0
9.318 -1.795 0.000
9.318 1.795 0.000
-4.144 0.000 8.595
Pm Y Ho Tm
2 2 4 1
Direct
0.165 0.165 0.001
0.835 0.835 0.999
0.353 0.353 0.337
0.647 0.647 0.663
0.019 0.019 0.333
0.315 0.315 0.664
0.685 0.685 0.336
0.981 0.981 0.667
0.500 0.500 0.000
```

DFT formation energy   -1 kJ/mol of formula units
Spin magnetization   0.00 μB/cell


No. 2
The following is a PBE calculation of a relaxed LiMgIn14 crystal, from Alexandria.

Cell and atoms, written as POSCAR:
```
LiMgIn14
1.0
6.625 0.000 0.000
0.000 6.625 0.000
0.000 0.000 9.445
Li Mg In
1 1 14
Direct
0.000 0.000 0.000
0.500 0.500 0.000
0.000 0.000 0.500
0.000 0.500 0.000
0.000 0.500 0.500
0.248 0.248 0.241
0.248 0.248 0.759
0.248 0.752 0.241
0.248 0.752 0.759
0.500 0.000 0.000
0.500 0.000 0.500
0.500 0.500 0.500
0.752 0.248 0.241
0.752 0.248 0.759
0.752 0.752 0.241
0.752 0.752 0.759
```

DFT formation energy   -30 kJ/mol of formula units
Spin magnetization   0.00 μB/cell


No. 3
The following is a PBE calculation of a relaxed TaTi crystal, from Alexandria.

Cell and atoms, written as POSCAR:
```
TaTi
1.0
3.265 0.000 0.000
0.000 4.651 0.000
0.000 0.000 4.648
Ta Ti
2 2
Direct
0.000 0.000 0.000
0.500 0.500 0.000
0.000 0.500 0.500
0.500 0.000 0.500
```

DFT formation energy   13 kJ/mol of formula units
Spin magnetization   0.00 μB/cell


No. 4
The following is a PBE calculation of a relaxed Y3SnPd crystal, from Alexandria.

Cell and atoms, written as POSCAR:
```
Y3SnPd
1.0
6.378 -5.490 0.000
6.378 5.490 0.000
0.000 0.000 8.032
Y Sn Pd
12 4 4
Direct
0.014 0.699 0.413
0.074 0.926 0.800
0.199 0.514 0.913
0.301 0.986 0.413
0.426 0.574 0.300
0.486 0.801 0.913
0.514 0.199 0.087
0.574 0.426 0.700
0.699 0.014 0.587
0.801 0.486 0.087
0.926 0.074 0.200
0.986 0.301 0.587
0.159 0.341 0.250
0.341 0.159 0.750
0.659 0.841 0.250
0.841 0.659 0.750
0.190 0.810 0.124
0.310 0.690 0.624
0.690 0.310 0.376
0.810 0.190 0.876
```

DFT formation energy   -285 kJ/mol of formula units
Spin magnetization   0.00 μB/cell
Energy above the lowest structure with this stoichiometry   0.0 meV per atom


No. 5
The following is a PBE calculation of a relaxed Li5AgP2 crystal, from Alexandria.

Cell and atoms, written as POSCAR:
```
Li5AgP2
1.0
4.402 0.000 0.000
-2.201 3.812 0.000
0.000 0.000 16.197
Li Ag P
10 2 4
Direct
0.000 0.000 0.122
0.000 0.000 0.378
0.000 0.000 0.622
0.000 0.000 0.878
0.333 0.667 0.052
0.333 0.667 0.250
0.333 0.667 0.448
0.667 0.333 0.552
0.667 0.333 0.750
0.667 0.333 0.948
0.333 0.667 0.750
0.667 0.333 0.250
0.333 0.667 0.604
0.333 0.667 0.896
0.667 0.333 0.104
0.667 0.333 0.396
```

DFT formation energy   -393 kJ/mol of formula units
Spin magnetization   0.00 μB/cell


No. 6
The following is a PBE calculation of a relaxed NiHg2Sb crystal, from Alexandria.

Cell and atoms, written as POSCAR:
```
NiHg2Sb
1.0
6.961 0.000 0.000
0.000 6.961 0.000
0.000 0.000 6.961
Ni Hg Sb
4 8 4
Direct
0.000 0.000 0.000
0.000 0.500 0.500
0.500 0.000 0.500
0.500 0.500 0.000
0.000 0.000 0.500
0.000 0.500 0.000
0.250 0.250 0.750
0.250 0.750 0.250
0.500 0.000 0.000
0.500 0.500 0.500
0.750 0.250 0.250
0.750 0.750 0.750
0.250 0.250 0.250
0.250 0.750 0.750
0.750 0.250 0.750
0.750 0.750 0.250
```

ΔE_f (raw)   0.40 eV/atom
Spin magnetization   0.00 μB/cell


No. 7
The following is a PBE calculation of a relaxed Nd2PuH crystal, from Alexandria.

Cell and atoms, written as POSCAR:
```
Nd2PuH
1.0
3.334 0.000 0.000
0.000 3.334 0.000
0.000 0.000 8.540
Nd Pu H
2 1 1
Direct
0.000 0.000 0.194
0.000 0.000 0.806
0.500 0.500 0.500
0.500 0.500 0.000
```

Spin magnetization   5.94 μB/cell
Energy above the lowest structure with this stoichiometry   59.4 meV per atom


No. 8
The following is a PBE calculation of a relaxed Ba5Bi3Br crystal, from Alexandria.

Cell and atoms, written as POSCAR:
```
Ba5Bi3Br
1.0
-4.830 4.830 8.721
4.830 -4.830 8.721
4.830 4.830 -8.721
Ba Bi Br
10 6 2
Direct
0.000 0.000 0.000
0.040 0.540 0.844
0.195 0.040 0.500
0.305 0.805 0.844
0.460 0.305 0.500
0.500 0.500 0.000
0.540 0.695 0.500
0.695 0.195 0.156
0.805 0.960 0.500
0.960 0.460 0.156
0.141 0.359 0.500
0.250 0.250 0.000
0.359 0.859 0.218
0.641 0.141 0.782
0.750 0.750 0.000
0.859 0.641 0.500
0.250 0.750 0.500
0.750 0.250 0.500
```

ΔE_f (raw)   -1.08 eV/atom
Spin magnetization   0.00 μB/cell


No. 9
The following is a PBE calculation of a relaxed LaGa3Fe crystal, from Alexandria.

Cell and atoms, written as POSCAR:
```
LaGa3Fe
1.0
5.599 0.000 0.000
0.000 5.599 0.000
0.000 0.000 5.599
La Ga Fe
1 3 1
Direct
0.000 0.000 0.000
0.000 0.000 0.500
0.000 0.500 0.000
0.500 0.000 0.000
0.500 0.500 0.500
```

DFT formation energy   657 kJ/mol of formula units
Spin magnetization   3.30 μB/cell


No. 10
The following is a PBE calculation of a relaxed Tb5YAu6 crystal, from Alexandria.

Cell and atoms, written as POSCAR:
```
Tb5YAu6
1.0
-2.568 3.575 7.723
2.568 -3.575 7.723
2.568 3.575 -7.723
Tb Y Au
5 1 6
Direct
0.000 0.000 0.000
0.167 0.667 0.500
0.334 0.334 0.000
0.666 0.666 0.000
0.833 0.333 0.500
0.500 0.000 0.500
0.083 0.833 0.250
0.250 0.500 0.750
0.417 0.167 0.250
0.583 0.833 0.750
0.750 0.500 0.250
0.917 0.167 0.750
```

DFT formation energy   -986 kJ/mol of formula units
Spin magnetization   0.00 μB/cell


No. 11
The following is a PBE calculation of a relaxed CaCrW2 crystal, from Alexandria.

Cell and atoms, written as POSCAR:
```
CaCrW2
1.0
3.078 0.000 0.000
0.000 4.865 0.000
0.000 0.000 9.246
Ca Cr W
2 2 4
Direct
0.000 0.000 0.000
0.500 0.500 0.500
0.000 0.500 0.765
0.500 0.000 0.265
0.000 0.000 0.468
0.000 0.500 0.222
0.500 0.000 0.722
0.500 0.500 0.968
```

DFT formation energy   347 kJ/mol of formula units
Spin magnetization   0.00 μB/cell
Energy above the lowest structure with this stoichiometry   271.7 meV per atom


No. 12
The following is a PBE calculation of a relaxed Al2BCl crystal, from Alexandria.

Cell and atoms, written as POSCAR:
```
Al2BCl
1.0
6.146 0.000 0.000
0.000 6.146 0.000
0.000 0.000 6.146
Al B Cl
8 4 4
Direct
0.250 0.250 0.250
0.250 0.250 0.750
0.250 0.750 0.250
0.250 0.750 0.750
0.750 0.250 0.250
0.750 0.250 0.750
0.750 0.750 0.250
0.750 0.750 0.750
0.000 0.000 0.000
0.000 0.500 0.500
0.500 0.000 0.500
0.500 0.500 0.000
0.000 0.000 0.500
0.000 0.500 0.000
0.500 0.000 0.000
0.500 0.500 0.500
```

ΔE_f (raw)   0.68 eV/atom
Spin magnetization   0.00 μB/cell
Energy above the lowest structure with this stoichiometry   875.2 meV per atom


No. 13
The following is a PBE calculation of a relaxed Dy3Ni9GeB2 crystal, from Alexandria.

Cell and atoms, written as POSCAR:
```
Dy3Ni9GeB2
1.0
5.402 0.000 0.000
-2.701 4.679 0.000
0.000 0.000 8.325
Dy Ni Ge B
3 9 1 2
Direct
0.000 0.000 0.000
0.333 0.667 0.629
0.667 0.333 0.371
0.000 0.500 0.000
0.166 0.333 0.280
0.166 0.834 0.280
0.333 0.166 0.720
0.500 0.000 0.000
0.500 0.500 0.000
0.667 0.834 0.280
0.834 0.166 0.720
0.834 0.667 0.720
0.000 0.000 0.500
0.333 0.667 0.144
0.667 0.333 0.856
```

DFT formation energy   -630 kJ/mol of formula units
Spin magnetization   0.00 μB/cell


No. 14
The following is a PBE calculation of a relaxed Ho2PuIr crystal, from Alexandria.

Cell and atoms, written as POSCAR:
```
Ho2PuIr
1.0
3.417 0.000 0.000
0.000 3.417 0.000
0.000 0.000 8.647
Ho Pu Ir
2 1 1
Direct
0.000 0.000 0.192
0.000 0.000 0.808
0.500 0.500 0.500
0.500 0.500 0.000
```

DFT formation energy   -138 kJ/mol of formula units
Spin magnetization   6.71 μB/cell
Energy above the lowest structure with this stoichiometry   0.0 meV per atom


No. 15
The following is a PBE calculation of a relaxed MgPdAu4 crystal, from Alexandria.

Cell and atoms, written as POSCAR:
```
MgPdAu4
1.0
0.000 3.853 3.853
3.853 0.000 3.853
3.853 3.853 0.000
Mg Pd Au
1 1 4
Direct
0.000 0.000 0.000
0.250 0.250 0.250
0.125 0.625 0.625
0.625 0.125 0.625
0.625 0.625 0.125
0.625 0.625 0.625
```

DFT formation energy   -91 kJ/mol of formula units
Spin magnetization   0.00 μB/cell
Energy above the lowest structure with this stoichiometry   164.8 meV per atom


No. 16
The following is a PBE calculation of a relaxed YScIr2 crystal, from Alexandria.

Cell and atoms, written as POSCAR:
```
YScIr2
1.0
3.211 0.000 0.000
-1.606 2.781 0.000
0.000 0.000 25.610
Y Sc Ir
3 3 6
Direct
0.000 0.000 0.000
0.333 0.667 0.667
0.667 0.333 0.333
0.000 0.000 0.500
0.333 0.667 0.167
0.667 0.333 0.833
0.000 0.000 0.246
0.000 0.000 0.754
0.333 0.667 0.421
0.333 0.667 0.913
0.667 0.333 0.087
0.667 0.333 0.579
```

DFT formation energy   -135 kJ/mol of formula units
Spin magnetization   0.00 μB/cell


No. 17
The following is a PBE calculation of a relaxed RbSrHPb2 crystal, from Alexandria.

Cell and atoms, written as POSCAR:
```
RbSrHPb2
1.0
5.194 0.000 0.000
0.000 5.194 0.000
0.000 0.000 5.379
Rb Sr H Pb
1 1 1 2
Direct
0.000 0.000 0.000
0.500 0.500 0.000
0.000 0.000 0.500
0.000 0.500 0.500
0.500 0.000 0.500
```

Spin magnetization   0.00 μB/cell
Total energy   -13.6 eV for the cell shown


No. 18
The following is a PBE calculation of a relaxed BaMnMo crystal, from Alexandria.

Cell and atoms, written as POSCAR:
```
BaMnMo
1.0
4.051 0.000 0.000
-2.026 3.509 0.000
0.000 0.000 5.560
Ba Mn Mo
1 1 1
Direct
0.000 0.000 0.000
0.667 0.333 0.500
0.333 0.667 0.500
```

DFT formation energy   247 kJ/mol of formula units
Spin magnetization   1.27 μB/cell
Energy above the lowest structure with this stoichiometry   400.2 meV per atom


No. 19
The following is a PBE calculation of a relaxed Zn2Ni7 crystal, from Alexandria.

Cell and atoms, written as POSCAR:
```
Zn2Ni7
1.0
6.900 0.000 0.000
-3.450 5.976 0.000
0.000 0.000 2.500
Zn Ni
2 7
Direct
0.333 0.667 0.000
0.667 0.333 0.000
0.000 0.000 0.500
0.000 0.357 0.500
0.000 0.699 0.000
0.301 0.301 0.000
0.357 0.000 0.500
0.643 0.643 0.500
0.699 0.000 0.000
```

DFT formation energy   -34 kJ/mol of formula units
Spin magnetization   1.92 μB/cell


No. 20
The following is a PBE calculation of a relaxed TlCdHgAu crystal, from Alexandria.

Cell and atoms, written as POSCAR:
```
TlCdHgAu
1.0
4.775 0.000 0.000
0.000 4.775 0.000
-0.009 0.000 8.543
Tl Cd Hg Au
2 2 2 2
Direct
0.000 0.000 0.000
0.500 0.500 0.000
0.001 0.000 0.439
0.501 0.500 0.439
0.003 0.500 0.698
0.503 0.000 0.698
0.001 0.500 0.244
0.501 0.000 0.244
```

DFT formation energy   -12 kJ/mol of formula units
Spin magnetization   0.00 μB/cell
Energy above the lowest structure with this stoichiometry   0.0 meV per atom


No. 21
The following is a PBE calculation of a relaxed BaCoCl crystal, from Alexandria.

Cell and atoms, written as POSCAR:
```
BaCoCl
1.0
7.617 0.000 0.000
0.000 7.617 0.000
0.000 0.000 7.617
Ba Co Cl
4 4 4
Direct
0.000 0.000 0.000
0.000 0.500 0.500
0.500 0.000 0.500
0.500 0.500 0.000
0.250 0.250 0.750
0.250 0.750 0.250
0.750 0.250 0.250
0.750 0.750 0.750
0.250 0.250 0.250
0.250 0.750 0.750
0.750 0.250 0.750
0.750 0.750 0.250
```

ΔE_f (raw)   -0.17 eV/atom
Spin magnetization   8.00 μB/cell
Energy above the lowest structure with this stoichiometry   705.0 meV per atom


No. 22
The following is a PBE calculation of a relaxed Ca2MoAu crystal, from Alexandria.

Cell and atoms, written as POSCAR:
```
Ca2MoAu
1.0
11.643 0.000 0.000
0.000 3.084 0.000
-1.904 0.000 5.159
Ca Mo Au
4 2 2
Direct
0.000 0.000 0.000
0.202 0.000 0.615
0.500 0.500 0.000
0.702 0.500 0.615
0.438 0.000 0.459
0.938 0.500 0.459
0.248 0.500 0.127
0.748 0.000 0.127
```

DFT formation energy   91 kJ/mol of formula units
Spin magnetization   0.00 μB/cell
Energy above the lowest structure with this stoichiometry   35.1 meV per atom


No. 23
The following is a PBE calculation of a relaxed Sr4AgPb2 crystal, from Alexandria.

Cell and atoms, written as POSCAR:
```
Sr4AgPb2
1.0
2.852 1.646 9.369
-2.852 1.646 9.369
0.000 -3.293 9.369
Sr Ag Pb
4 1 2
Direct
0.123 0.123 0.123
0.373 0.373 0.373
0.627 0.627 0.627
0.877 0.877 0.877
0.000 0.000 0.000
0.249 0.249 0.249
0.751 0.751 0.751
```

DFT formation energy   -305 kJ/mol of formula units
Spin magnetization   0.00 μB/cell


No. 24
The following is a PBE calculation of a relaxed Ca2Zn2F crystal, from Alexandria.

Cell and atoms, written as POSCAR:
```
Ca2Zn2F
1.0
6.794 0.000 0.000
0.000 6.794 0.000
0.000 0.000 5.061
Ca Zn F
4 4 2
Direct
0.192 0.308 0.000
0.308 0.808 0.000
0.692 0.192 0.000
0.808 0.692 0.000
0.125 0.625 0.500
0.375 0.125 0.500
0.625 0.875 0.500
0.875 0.375 0.500
0.000 0.000 0.000
0.500 0.500 0.000
```

ΔE_f (raw)   -1.04 eV/atom
Spin magnetization   0.00 μB/cell
Energy above the lowest structure with this stoichiometry   0.0 meV per atom


No. 25
The following is a PBE calculation of a relaxed La6AsP2Se3 crystal, from Alexandria.

Cell and atoms, written as POSCAR:
```
La6AsP2Se3
1.0
9.431 -2.151 0.000
9.431 2.151 0.000
-2.066 0.000 8.402
La As P Se
6 1 2 3
Direct
0.005 0.005 0.248
0.329 0.329 0.426
0.334 0.334 0.905
0.666 0.666 0.095
0.671 0.671 0.574
0.995 0.995 0.752
0.500 0.500 0.000
0.167 0.167 0.334
0.833 0.833 0.666
0.166 0.166 0.833
0.500 0.500 0.500
0.834 0.834 0.167
```

ΔE_f (raw)   -1.86 eV/atom
Spin magnetization   0.00 μB/cell